# GGA-PBE CaFeTe2I, optimized geometry
# Calculated volume = 40.65 Å³/atom
# Electronic total energy = -3.181 eV per atom
# Size of the total moment = 4.07 Bohr magnetons per cell
# ΔE to the lowest computed polymorph = 767 meV per atom
data_CaFeTe2I
_chemical_formula_sum 'Ca1 Fe1 Te2 I1'
_symmetry_space_group_name_H-M 'P 4/m m m'
_symmetry_Int_Tables_number 123
_symmetry_space_group_name_Hall '-P 4 2'
_cell_length_a 5.905
_cell_length_b 5.905
_cell_length_c 5.829
_cell_angle_alpha 90.00
_cell_angle_beta 90.00
_cell_angle_gamma 90.00
loop_
_atom_site_label
_atom_site_fract_x
_atom_site_fract_y
_atom_site_fract_z
Ca1 0.000 0.000 0.000
Fe1 0.500 0.500 0.500
Te1 0.000 0.500 0.000
I1 0.000 0.000 0.500

# GGA-PBE AcAgHg6, optimized geometry
# Calculated volume = 42.60 Å³/atom
# Electronic total energy = -0.985 eV per atom
# Size of the total moment = 0.00 Bohr magnetons per cell
# ΔE to the lowest computed polymorph = 261 meV per atom
# ΔH_f (0 K) = 86 kJ/mol of formula units
data_AcAgHg6
_chemical_formula_sum 'Ac3 Ag3 Hg18'
_symmetry_space_group_name_H-M 'R -3 m'
_symmetry_Int_Tables_number 166
_symmetry_space_group_name_Hall '-R 3 2"'
_cell_length_a 6.2635
_cell_length_b 6.2635
_cell_length_c 30.0888
_cell_angle_alpha 90.00
_cell_angle_beta 90.00
_cell_angle_gamma 120.00
loop_
_atom_site_label
_atom_site_fract_x
_atom_site_fract_y
_atom_site_fract_z
Ac1 0.0000 0.0000 0.0000
Ag1 0.0000 0.0000 0.5000
Hg1 0.0046 0.5023 0.2424

# GGA-PBE Y2Pu2In3, optimized geometry
# Calculated volume = 26.20 Å³/atom
# Electronic total energy = -7.362 eV per atom
# Size of the total moment = 24.84 Bohr magnetons per cell
# ΔH_f (0 K) = -167 kJ/mol of formula units
data_Y2Pu2In3
_chemical_formula_sum 'Y4 Pu4 In6'
_symmetry_space_group_name_H-M 'C m m m'
_symmetry_Int_Tables_number 65
_symmetry_space_group_name_Hall '-C 2 2'
_cell_length_a 4.761
_cell_length_b 22.917
_cell_length_c 3.361
_cell_angle_alpha 90.00
_cell_angle_beta 90.00
_cell_angle_gamma 90.00
loop_
_atom_site_label
_atom_site_fract_x
_atom_site_fract_y
_atom_site_fract_z
Y1 0.000 0.074 0.000
Pu1 0.000 0.214 0.000
In1 0.000 0.353 0.500
In2 0.000 0.500 0.500

# GGA-PBE ReTe2Mo, optimized geometry
# Calculated volume = 20.43 Å³/atom
# Electronic total energy = -6.349 eV per atom
# Size of the total moment = 0.00 Bohr magnetons per cell
# ΔE to the lowest computed polymorph = 836 meV per atom
data_ReTe2Mo
_chemical_formula_sum 'Re1 Te2 Mo1'
_symmetry_space_group_name_H-M 'P 1 2/m 1'
_symmetry_Int_Tables_number 10
_cell_length_a 2.883
_cell_length_b 4.385
_cell_length_c 6.475
_cell_angle_alpha 90.00
_cell_angle_beta 93.31
_cell_angle_gamma 90.00
loop_
_symmetry_equiv_pos_as_xyz
'x,y,z'
'-x,-y,-z'
'-x,y,-z'
'x,-y,z'
loop_
_atom_site_label
_atom_site_fract_x
_atom_site_fract_y
_atom_site_fract_z
Re1 0.000 0.000 0.000
Te1 0.188 0.500 0.250
Mo1 0.000 0.000 0.500

# GGA-PBE Er6HgSe3S2, optimized geometry
# Calculated volume = 23.15 Å³/atom
# Electronic total energy = -5.416 eV per atom
# Size of the total moment = 0.00 Bohr magnetons per cell
data_Er6HgSe3S2
_chemical_formula_sum 'Er12 Hg2 Se6 S4'
_symmetry_space_group_name_H-M 'C 1 2/m 1'
_symmetry_Int_Tables_number 12
_cell_length_a 17.612
_cell_length_b 3.925
_cell_length_c 8.283
_cell_angle_alpha 90.00
_cell_angle_beta 103.95
_cell_angle_gamma 90.00
loop_
_symmetry_equiv_pos_as_xyz
'x,y,z'
'-x,-y,-z'
'-x,y,-z'
'x,-y,z'
'x+1/2,y+1/2,z'
'-x+1/2,-y+1/2,-z'
'-x+1/2,y+1/2,-z'
'x+1/2,-y+1/2,z'
loop_
_atom_site_label
_atom_site_fract_x
_atom_site_fract_y
_atom_site_fract_z
Er1 0.005 0.000 0.259
Er2 0.169 0.500 0.100
Er3 0.171 0.500 0.571
Hg1 0.000 0.500 0.000
Se1 0.000 0.500 0.500
Se2 0.166 0.000 0.830
S1 0.170 0.000 0.338

# GGA-PBE BaMg2SnPb2, optimized geometry
# Calculated volume = 30.88 Å³/atom
# Electronic total energy = -2.963 eV per atom
# Size of the total moment = 0.00 Bohr magnetons per cell
# ΔH_f (0 K) = -120 kJ/mol of formula units
data_BaMg2SnPb2
_chemical_formula_sum 'Ba2 Mg4 Sn2 Pb4'
_symmetry_space_group_name_H-M 'P n n m'
_symmetry_Int_Tables_number 58
_cell_length_a 7.741
_cell_length_b 9.529
_cell_length_c 5.023
_cell_angle_alpha 90.00
_cell_angle_beta 90.00
_cell_angle_gamma 90.00
loop_
_symmetry_equiv_pos_as_xyz
'x,y,z'
'-x,-y,-z'
'-x,-y,z'
'x,y,-z'
'x+1/2,-y+1/2,-z+1/2'
'-x+1/2,y+1/2,z+1/2'
'-x+1/2,y+1/2,-z+1/2'
'x+1/2,-y+1/2,z+1/2'
loop_
_atom_site_label
_atom_site_fract_x
_atom_site_fract_y
_atom_site_fract_z
Ba1 0.000 0.000 0.000
Mg1 0.176 0.353 0.000
Sn1 0.000 0.500 0.500
Pb1 0.229 0.672 0.000

# GGA-PBE NaSnB, optimized geometry
# Calculated volume = 21.06 Å³/atom
# Electronic total energy = -3.612 eV per atom
# Size of the total moment = 0.00 Bohr magnetons per cell
# ΔH_f (0 K) = 112 kJ/mol of formula units
data_NaSnB
_chemical_formula_sum 'Na2 Sn2 B2'
_symmetry_space_group_name_H-M 'P 1'
_symmetry_Int_Tables_number 1
_cell_length_a 3.797
_cell_length_b 5.520
_cell_length_c 6.788
_cell_angle_alpha 75.28
_cell_angle_beta 73.91
_cell_angle_gamma 69.90
loop_
_symmetry_equiv_pos_as_xyz
'x,y,z'
loop_
_atom_site_label
_atom_site_fract_x
_atom_site_fract_y
_atom_site_fract_z
Na1 0.000 0.000 0.000
Na2 0.259 0.053 0.426
Sn1 0.600 0.521 0.278
Sn2 0.870 0.559 0.700
B1 0.515 0.298 0.671
B2 0.653 0.988 0.705

# GGA-PBE PuHfHgO6, optimized geometry
# Calculated volume = 14.69 Å³/atom
# Electronic total energy = -8.282 eV per atom
# Size of the total moment = 4.00 Bohr magnetons per cell
data_PuHfHgO6
_chemical_formula_sum 'Pu2 Hf2 Hg2 O12'
_symmetry_space_group_name_H-M 'P -3 1 c'
_symmetry_Int_Tables_number 163
_symmetry_space_group_name_Hall '-P 3 2c'
_cell_length_a 5.6109
_cell_length_b 5.6109
_cell_length_c 9.6951
_cell_angle_alpha 90.00
_cell_angle_beta 90.00
_cell_angle_gamma 120.00
loop_
_atom_site_label
_atom_site_fract_x
_atom_site_fract_y
_atom_site_fract_z
Pu1 0.3333 0.6667 0.2500
Hf1 0.3333 0.6667 0.7500
Hg1 0.0000 0.0000 0.0000
O1 0.0026 0.3653 0.1399

# GGA-PBE Sc3Cr, optimized geometry
# Calculated volume = 21.52 Å³/atom
# Electronic total energy = -6.850 eV per atom
# Size of the total moment = 8.90 Bohr magnetons per cell
# ΔH_f (0 K) = 118 kJ/mol of formula units
data_Sc3Cr
_chemical_formula_sum 'Sc9 Cr3'
_symmetry_space_group_name_H-M 'R -3 m'
_symmetry_Int_Tables_number 166
_symmetry_space_group_name_Hall '-R 3 2"'
_cell_length_a 3.1800
_cell_length_b 3.1800
_cell_length_c 29.4873
_cell_angle_alpha 90.00
_cell_angle_beta 90.00
_cell_angle_gamma 120.00
loop_
_atom_site_label
_atom_site_fract_x
_atom_site_fract_y
_atom_site_fract_z
Sc1 0.0000 0.0000 0.0000
Sc2 0.0000 0.0000 0.2401
Cr1 0.0000 0.0000 0.5000

# GGA-PBE Tb8Se3, optimized geometry
# Calculated volume = 26.63 Å³/atom
# Electronic total energy = -4.921 eV per atom
# Size of the total moment = 0.00 Bohr magnetons per cell
data_Tb8Se3
_chemical_formula_sum 'Tb24 Se9'
_symmetry_space_group_name_H-M 'R -3 m'
_symmetry_Int_Tables_number 166
_symmetry_space_group_name_Hall '-R 3 2"'
_cell_length_a 5.2986
_cell_length_b 5.2986
_cell_length_c 36.1391
_cell_angle_alpha 90.00
_cell_angle_beta 90.00
_cell_angle_gamma 120.00
loop_
_atom_site_label
_atom_site_fract_x
_atom_site_fract_y
_atom_site_fract_z
Tb1 0.0000 0.0000 0.0455
Tb2 0.0000 0.0000 0.1423
Tb3 0.0000 0.0000 0.3208
Tb4 0.0000 0.0000 0.4207
Se1 0.0000 0.0000 0.2304
Se2 0.0000 0.0000 0.5000

# GGA-PBE GaPbS2Cl, optimized geometry
# Calculated volume = 80.66 Å³/atom
# Electronic total energy = -2.286 eV per atom
# Size of the total moment = 2.00 Bohr magnetons per cell
# ΔE to the lowest computed polymorph = 1413 meV per atom
data_GaPbS2Cl
_chemical_formula_sum 'Ga1 Pb1 S2 Cl1'
_symmetry_space_group_name_H-M 'P 4/m m m'
_symmetry_Int_Tables_number 123
_symmetry_space_group_name_Hall '-P 4 2'
_cell_length_a 7.622
_cell_length_b 7.622
_cell_length_c 6.942
_cell_angle_alpha 90.00
_cell_angle_beta 90.00
_cell_angle_gamma 90.00
loop_
_atom_site_label
_atom_site_fract_x
_atom_site_fract_y
_atom_site_fract_z
Ga1 0.000 0.000 0.000
Pb1 0.500 0.500 0.500
S1 0.000 0.500 0.500
Cl1 0.500 0.500 0.000

# GGA-PBE NbNi2H, optimized geometry
# Calculated volume = 11.01 Å³/atom
# Electronic total energy = -6.195 eV per atom
# Size of the total moment = 5.25 Bohr magnetons per cell
# ΔE to the lowest computed polymorph = 0 meV per atom
data_NbNi2H
_chemical_formula_sum 'Nb4 Ni8 H4'
_symmetry_space_group_name_H-M 'I -4 2 d'
_symmetry_Int_Tables_number 122
_symmetry_space_group_name_Hall 'I -4 2bw'
_cell_length_a 4.997
_cell_length_b 4.997
_cell_length_c 7.054
_cell_angle_alpha 90.00
_cell_angle_beta 90.00
_cell_angle_gamma 90.00
loop_
_atom_site_label
_atom_site_fract_x
_atom_site_fract_y
_atom_site_fract_z
Nb1 0.000 0.000 0.000
Ni1 0.019 0.250 0.625
H1 0.000 0.000 0.500

# GGA-PBE Sr2Li3RhO6, optimized geometry
# Calculated volume = 12.82 Å³/atom
# Electronic total energy = -5.654 eV per atom
# Size of the total moment = 4.02 Bohr magnetons per cell
data_Sr2Li3RhO6
_chemical_formula_sum 'Sr4 Li6 Rh2 O12'
_symmetry_space_group_name_H-M 'C 1 2/m 1'
_symmetry_Int_Tables_number 12
_cell_length_a 5.716
_cell_length_b 10.839
_cell_length_c 5.235
_cell_angle_alpha 90.00
_cell_angle_beta 108.37
_cell_angle_gamma 90.00
loop_
_symmetry_equiv_pos_as_xyz
'x,y,z'
'-x,-y,-z'
'-x,y,-z'
'x,-y,z'
'x+1/2,y+1/2,z'
'-x+1/2,-y+1/2,-z'
'-x+1/2,y+1/2,-z'
'x+1/2,-y+1/2,z'
loop_
_atom_site_label
_atom_site_fract_x
_atom_site_fract_y
_atom_site_fract_z
Sr1 0.000 0.171 0.000
Li1 0.000 0.000 0.500
Li2 0.000 0.393 0.500
Rh1 0.000 0.500 0.000
O1 0.202 0.368 0.246
O2 0.230 0.500 0.769

# GGA-PBE HfGa3Co2, optimized geometry
# Calculated volume = 14.77 Å³/atom
# Electronic total energy = -5.786 eV per atom
# Size of the total moment = 7.07 Bohr magnetons per cell
# ΔH_f (0 K) = -142 kJ/mol of formula units
data_HfGa3Co2
_chemical_formula_sum 'Hf6 Ga18 Co12'
_symmetry_space_group_name_H-M 'R -3 m'
_symmetry_Int_Tables_number 166
_symmetry_space_group_name_Hall '-R 3 2"'
_cell_length_a 5.6084
_cell_length_b 5.6084
_cell_length_c 19.5219
_cell_angle_alpha 90.00
_cell_angle_beta 90.00
_cell_angle_gamma 120.00
loop_
_atom_site_label
_atom_site_fract_x
_atom_site_fract_y
_atom_site_fract_z
Hf1 0.0000 0.0000 0.2166
Ga1 0.0042 0.5021 0.2384
Co1 0.0000 0.0000 0.0000
Co2 0.0000 0.5000 0.0000

# GGA-PBE SiMo3Ir, optimized geometry
# Calculated volume = 17.20 Å³/atom
# Electronic total energy = -8.315 eV per atom
# Size of the total moment = 0.00 Bohr magnetons per cell
# ΔE to the lowest computed polymorph = 0 meV per atom
data_SiMo3Ir
_chemical_formula_sum 'Si1 Mo3 Ir1'
_symmetry_space_group_name_H-M 'P m -3 m'
_symmetry_Int_Tables_number 221
_symmetry_space_group_name_Hall '-P 4 2 3'
_cell_length_a 4.414
_cell_length_b 4.414
_cell_length_c 4.414
_cell_angle_alpha 90.00
_cell_angle_beta 90.00
_cell_angle_gamma 90.00
loop_
_atom_site_label
_atom_site_fract_x
_atom_site_fract_y
_atom_site_fract_z
Si1 0.000 0.000 0.000
Mo1 0.000 0.000 0.500
Ir1 0.500 0.500 0.500

# GGA-PBE TmCd2Ag, optimized geometry
# Calculated volume = 21.62 Å³/atom
# Electronic total energy = -2.546 eV per atom
# Size of the total moment = 0.00 Bohr magnetons per cell
# ΔH_f (0 K) = -99 kJ/mol of formula units
data_TmCd2Ag
_chemical_formula_sum 'Tm2 Cd4 Ag2'
_symmetry_space_group_name_H-M 'I -4 m 2'
_symmetry_Int_Tables_number 119
_symmetry_space_group_name_Hall 'I -4 -2'
_cell_length_a 4.955
_cell_length_b 4.955
_cell_length_c 7.045
_cell_angle_alpha 90.00
_cell_angle_beta 90.00
_cell_angle_gamma 90.00
loop_
_atom_site_label
_atom_site_fract_x
_atom_site_fract_y
_atom_site_fract_z
Tm1 0.000 0.000 0.000
Cd1 0.000 0.000 0.500
Cd2 0.000 0.500 0.750
Ag1 0.000 0.500 0.250

# GGA-PBE AuSeBr2, optimized geometry
# Calculated volume = 33.81 Å³/atom
# Electronic total energy = -2.471 eV per atom
# Size of the total moment = 0.96 Bohr magnetons per cell
# ΔE to the lowest computed polymorph = 101 meV per atom
data_AuSeBr2
_chemical_formula_sum 'Au2 Se2 Br4'
_symmetry_space_group_name_H-M 'I m m 2'
_symmetry_Int_Tables_number 44
_cell_length_a 3.651
_cell_length_b 8.257
_cell_length_c 8.973
_cell_angle_alpha 90.00
_cell_angle_beta 90.00
_cell_angle_gamma 90.00
loop_
_symmetry_equiv_pos_as_xyz
'x,y,z'
'-x,-y,z'
'-x,y,z'
'x,-y,z'
'x+1/2,y+1/2,z+1/2'
'-x+1/2,-y+1/2,z+1/2'
'-x+1/2,y+1/2,z+1/2'
'x+1/2,-y+1/2,z+1/2'
loop_
_atom_site_label
_atom_site_fract_x
_atom_site_fract_y
_atom_site_fract_z
Au1 0.000 0.000 0.000
Se1 0.000 0.500 0.689
Br1 0.000 0.000 0.432
Br2 0.000 0.500 0.299

# GGA-PBE FeSi4Ge2, optimized geometry
# Calculated volume = 18.50 Å³/atom
# Electronic total energy = -5.257 eV per atom
# Size of the total moment = 0.00 Bohr magnetons per cell
data_FeSi4Ge2
_chemical_formula_sum 'Fe2 Si8 Ge4'
_symmetry_space_group_name_H-M 'I 4/m m m'
_symmetry_Int_Tables_number 139
_symmetry_space_group_name_Hall '-I 4 2'
_cell_length_a 4.149
_cell_length_b 4.149
_cell_length_c 15.045
_cell_angle_alpha 90.00
_cell_angle_beta 90.00
_cell_angle_gamma 90.00
loop_
_atom_site_label
_atom_site_fract_x
_atom_site_fract_y
_atom_site_fract_z
Fe1 0.000 0.000 0.000
Si1 0.000 0.000 0.152
Si2 0.000 0.500 0.000
Ge1 0.000 0.000 0.312

# GGA-PBE Tb3Pm3Nd2, optimized geometry
# Calculated volume = 33.62 Å³/atom
# Electronic total energy = -4.694 eV per atom
# Size of the total moment = 0.00 Bohr magnetons per cell
# ΔE to the lowest computed polymorph = 0 meV per atom
# ΔH_f (0 K) = 12 kJ/mol of formula units
data_Tb3Pm3Nd2
_chemical_formula_sum 'Tb6 Pm6 Nd4'
_symmetry_space_group_name_H-M 'I m m m'
_symmetry_Int_Tables_number 71
_symmetry_space_group_name_Hall '-I 2 2'
_cell_length_a 5.124
_cell_length_b 5.126
_cell_length_c 20.483
_cell_angle_alpha 90.00
_cell_angle_beta 90.00
_cell_angle_gamma 90.00
loop_
_atom_site_label
_atom_site_fract_x
_atom_site_fract_y
_atom_site_fract_z
Tb1 0.000 0.000 0.000
Tb2 0.000 0.500 0.124
Pm1 0.000 0.000 0.500
Pm2 0.000 0.500 0.376
Nd1 0.000 0.000 0.250

# GGA-PBE Li4PtO4, optimized geometry
# Calculated volume = 10.45 Å³/atom
# Electronic total energy = -5.204 eV per atom
# Size of the total moment = 0.00 Bohr magnetons per cell
data_Li4PtO4
_chemical_formula_sum 'Li8 Pt2 O8'
_symmetry_space_group_name_H-M 'C 1 2/m 1'
_symmetry_Int_Tables_number 12
_cell_length_a 10.004
_cell_length_b 3.078
_cell_length_c 7.343
_cell_angle_alpha 90.00
_cell_angle_beta 123.72
_cell_angle_gamma 90.00
loop_
_symmetry_equiv_pos_as_xyz
'x,y,z'
'-x,-y,-z'
'-x,y,-z'
'x,-y,z'
'x+1/2,y+1/2,z'
'-x+1/2,-y+1/2,-z'
'-x+1/2,y+1/2,-z'
'x+1/2,-y+1/2,z'
loop_
_atom_site_label
_atom_site_fract_x
_atom_site_fract_y
_atom_site_fract_z
Li1 0.146 0.000 0.384
Li2 0.209 0.500 0.812
Pt1 0.000 0.500 0.000
O1 0.075 0.000 0.889
O2 0.222 0.500 0.298